# Pm2Ga3Pt, relaxed, DFT PBE
# calculated volume	1044	Å³/cell
# formation enthalpy at 0 K	-838	meV per atom
# magnetization	0.000	μB per formula unit
# total energy	-237.22	eV/cell
# energy relative to the lowest polymorph listed for this composition	9	meV per atom
data_Pm2Ga3Pt
_space_group_name_H-M_alt 'F m m m'
_space_group_IT_number 69
_space_group_name_Hall '-F 2 2'
_cell_length_a 7.5708
_cell_length_b 8.9174
_cell_length_c 15.4619
_cell_angle_alpha 90.00
_cell_angle_beta 90.00
_cell_angle_gamma 90.00
loop_
_atom_site_label
_atom_site_type_symbol
_atom_site_fract_x
_atom_site_fract_y
_atom_site_fract_z
Pm1 Pm 0.2383 0.0000 0.0000
Pm2 Pm 0.2500 0.2500 0.2500
Ga1 Ga 0.0000 0.0000 0.3341
Ga2 Ga 0.0000 0.2494 0.4166
Pt1 Pt 0.0000 0.0000 0.1680